# Rb5As2Se6 | Alexandria via LeMat-Bulk | PBE | relaxed
# total DFT energy (no corrections)	-3.5028	eV/atom
# calculated density	3662	kg/m³
data_Rb5As2Se6
_cell_length_a 5.082
_cell_length_b 13.956
_cell_length_c 13.950
_cell_angle_alpha 90.00
_cell_angle_beta 105.57
_cell_angle_gamma 90.00
_space_group_name_H-M_alt 'P 1 21/c 1'
_space_group_IT_number 14
_space_group_name_Hall '-P 2ybc'
loop_
_atom_site_label
_atom_site_fract_x
_atom_site_fract_y
_atom_site_fract_z
Rb1 0.000 0.000 0.000
Rb2 0.057 0.066 0.307
Rb3 0.190 0.718 0.985
As1 0.475 0.184 0.724
Se1 0.025 0.671 0.700
Se2 0.370 0.072 0.589
Se3 0.432 0.158 0.149

---

# Pt2PbBr | Alexandria via LeMat-Bulk | PBE | relaxed
# total DFT energy (no corrections)	-3.9417	eV/atom
# calculated density	13469	kg/m³
data_Pt2PbBr
_cell_length_a 6.938
_cell_length_b 6.938
_cell_length_c 6.938
_cell_angle_alpha 90.00
_cell_angle_beta 90.00
_cell_angle_gamma 90.00
_space_group_name_H-M_alt 'F -4 3 m'
_space_group_IT_number 216
_space_group_name_Hall 'F -4 2 3'
loop_
_atom_site_label
_atom_site_fract_x
_atom_site_fract_y
_atom_site_fract_z
Pt1 0.000 0.000 0.000
Pt2 0.250 0.250 0.250
Pb1 0.000 0.000 0.500
Br1 0.250 0.250 0.750

---

# CaY2HoAs4 | Alexandria via LeMat-Bulk | PBE | relaxed
# total DFT energy (no corrections)	-6.1419	eV/atom
# calculated formation energy	-11.0	eV/f.u.
# calculated density	5619	kg/m³
data_CaY2HoAs4
_cell_length_a 7.188
_cell_length_b 4.132
_cell_length_c 7.194
_cell_angle_alpha 90.00
_cell_angle_beta 109.30
_cell_angle_gamma 90.00
_space_group_name_H-M_alt 'P 1 2/m 1'
_space_group_IT_number 10
_space_group_name_Hall '-P 2y'
loop_
_atom_site_label
_atom_site_fract_x
_atom_site_fract_y
_atom_site_fract_z
Ca1 0.000 0.000 0.000
Y1 0.500 0.000 0.500
Y2 0.500 0.500 0.000
Ho1 0.000 0.500 0.500
As1 0.251 0.000 0.746
As2 0.256 0.500 0.257

---

# MgIr2Rh | Alexandria via LeMat-Bulk | PBE | relaxed
# total DFT energy (no corrections)	-6.5569	eV/atom
# calculated formation energy	0.4	eV/f.u.
# calculated density	14061	kg/m³
data_MgIr2Rh
_cell_length_a 2.794
_cell_length_b 4.750
_cell_length_c 9.105
_cell_angle_alpha 90.00
_cell_angle_beta 90.00
_cell_angle_gamma 90.00
_space_group_name_H-M_alt 'C m m 2'
_space_group_IT_number 35
_space_group_name_Hall 'C 2 -2'
loop_
_atom_site_label
_atom_site_fract_x
_atom_site_fract_y
_atom_site_fract_z
Mg1 0.000 0.000 0.000
Ir1 0.000 0.000 0.503
Ir2 0.000 0.500 0.251
Rh1 0.000 0.500 0.754